Record 1
{
  "formula": "ZrC3",
  "functional": "PBE",
  "state": "optimized geometry",
  "cell": [[4.3227, 0.0000, 0.0000], [0.0000, 4.3227, 0.0000], [0.0000, 0.0000, 4.3227]],
  "species": ["Zr", "Zr", "C", "C", "C", "C", "C", "C"],
  "fractional_positions": [[0.0000, 0.0000, 0.0000], [0.5000, 0.5000, 0.5000], [0.7500, 0.5000, 0.0000], [0.2500, 0.5000, 0.0000], [0.0000, 0.7500, 0.5000], [0.0000, 0.2500, 0.5000], [0.5000, 0.0000, 0.2500], [0.5000, 0.0000, 0.7500]]
}

=====

Record 2
{
  "formula": "Pa2Te3Rh",
  "functional": "PBE",
  "state": "optimized geometry",
  "cell": [[4.2436, 0.0000, 0.0000], [0.0000, 11.5317, 0.0000], [0.0000, 0.0000, 13.0823]],
  "species": ["Pa", "Pa", "Pa", "Pa", "Pa", "Pa", "Pa", "Pa", "Te", "Te", "Te", "Te", "Te", "Te", "Te", "Te", "Te", "Te", "Te", "Te", "Rh", "Rh", "Rh", "Rh"],
  "fractional_positions": [[0.2500, 0.6840, 0.4547], [0.7500, 0.3160, 0.5453], [0.7500, 0.1840, 0.0453], [0.2500, 0.8160, 0.9547], [0.2500, 0.9668, 0.2721], [0.7500, 0.0332, 0.7279], [0.7500, 0.4668, 0.2279], [0.2500, 0.5332, 0.7721], [0.2500, 0.3884, 0.0613], [0.7500, 0.6116, 0.9387], [0.7500, 0.8884, 0.4387], [0.2500, 0.1116, 0.5613], [0.2500, 0.6837, 0.1905], [0.7500, 0.3163, 0.8095], [0.7500, 0.1837, 0.3095], [0.2500, 0.8163, 0.6905], [0.2500, 0.4246, 0.3974], [0.7500, 0.5754, 0.6026], [0.7500, 0.9246, 0.1026], [0.2500, 0.0754, 0.8974], [0.2500, 0.1929, 0.1780], [0.7500, 0.8071, 0.8220], [0.7500, 0.6929, 0.3220], [0.2500, 0.3071, 0.6780]]
}

=====

Record 3
{
  "formula": "Li2BeCrFe",
  "functional": "PBE",
  "state": "optimized geometry",
  "cell": [[-2.7569, 1.0832, -3.3075], [0.8556, -3.7499, -1.9412], [-3.3668, -1.8990, 2.1844]],
  "species": ["Cr", "Li", "Li", "Fe", "Be"],
  "fractional_positions": [[0.0000, 0.0000, 0.0000], [0.0000, 0.0000, 0.5000], [0.5000, 0.0000, 0.0000], [0.5000, 0.5000, 0.5000], [0.0000, 0.5000, 0.0000]]
}

=====

Record 4
{
  "formula": "ScBeIr",
  "functional": "PBE",
  "state": "optimized geometry",
  "cell": [[-4.5398, -1.2984, -0.9831], [-3.1824, -0.6271, 3.6932], [-3.5480, 3.4013, 0.0611]],
  "species": ["Sc", "Sc", "Be", "Be", "Ir", "Ir"],
  "fractional_positions": [[0.8756, 0.3744, 0.3744], [0.1244, 0.6256, 0.6256], [0.0000, 0.0000, 0.0000], [0.5000, 0.0000, 0.0000], [0.5000, 0.5000, 0.0000], [0.5000, 0.0000, 0.5000]]
}

=====

Record 5
{
  "formula": "Mg2TeAs",
  "functional": "PBE",
  "state": "optimized geometry",
  "cell": [[3.6692, -0.0414, 0.0000], [-1.3087, 3.4282, 0.0000], [0.0000, 0.0000, 7.7371]],
  "species": ["As", "Mg", "Mg", "Te"],
  "fractional_positions": [[0.5000, 0.5000, 0.7500], [0.0000, 0.0000, 0.9725], [0.0000, 0.0000, 0.5275], [0.5000, 0.5000, 0.2500]]
}

=====

Record 6
{
  "formula": "Si3Tc",
  "functional": "PBE",
  "state": "optimized geometry",
  "cell": [[-2.0798, -0.5962, -4.7021], [-2.6698, -1.4006, 4.2072], [-3.6981, 8.6632, 0.5373]],
  "species": ["Si", "Si", "Si", "Si", "Si", "Si", "Si", "Si", "Si", "Si", "Si", "Si", "Tc", "Tc", "Tc", "Tc"],
  "fractional_positions": [[0.5000, 0.0000, 0.0000], [0.5000, 0.0000, 0.5000], [0.0000, 0.5000, 0.0000], [0.5000, 0.5000, 0.0000], [0.5000, 0.5000, 0.5000], [0.0000, 0.5000, 0.5000], [0.8386, 0.6771, 0.2500], [0.1614, 0.3229, 0.7500], [0.3229, 0.1614, 0.2500], [0.8386, 0.1614, 0.2500], [0.1614, 0.8386, 0.7500], [0.6771, 0.8386, 0.7500], [0.0000, 0.0000, 0.0000], [0.0000, 0.0000, 0.5000], [0.3333, 0.6667, 0.2500], [0.6667, 0.3333, 0.7500]]
}

=====

Record 7
{
  "formula": "LiAuSe2",
  "functional": "PBE",
  "state": "optimized geometry",
  "cell": [[2.7622, 0.0000, 0.0000], [0.0000, 2.7622, 0.0000], [0.0000, 0.0000, 11.1709]],
  "species": ["Au", "Li", "Se", "Se"],
  "fractional_positions": [[0.5000, 0.5000, 0.2500], [0.5000, 0.5000, 0.7500], [0.0000, 0.0000, 0.9298], [0.0000, 0.0000, 0.5702]]
}

=====

Record 8
{
  "formula": "YPuCoRh",
  "functional": "PBE",
  "state": "optimized geometry",
  "cell": [[-0.0422, 0.4930, -4.7722], [2.6405, -2.9247, -2.7373], [-2.1418, -3.3095, -2.7347]],
  "species": ["Y", "Co", "Rh", "Pu"],
  "fractional_positions": [[0.5000, 0.5000, 0.5000], [0.7500, 0.7500, 0.7500], [0.2500, 0.2500, 0.2500], [0.0000, 0.0000, 0.0000]]
}

=====

Record 9
{
  "formula": "CdRu",
  "functional": "PBE",
  "state": "optimized geometry",
  "cell": [[-2.7550, -3.7724, -3.1080], [-2.2822, -1.5746, -4.8778], [4.8787, -3.6782, -3.2643]],
  "species": ["Cd", "Cd", "Cd", "Ru", "Ru", "Ru"],
  "fractional_positions": [[0.9823, 0.9823, 0.0207], [0.6371, 0.6371, 0.2600], [0.6508, 0.6508, 0.6667], [0.3484, 0.3484, 0.3660], [0.9284, 0.9284, 0.6151], [0.2864, 0.2864, 0.9048]]
}

=====

Record 10
{
  "formula": "KOs4W",
  "functional": "PBE",
  "state": "optimized geometry",
  "cell": [[0.0000, 3.7037, 3.7037], [3.7037, 0.0000, 3.7037], [3.7037, 3.7037, 0.0000]],
  "species": ["K", "Os", "Os", "Os", "Os", "W"],
  "fractional_positions": [[0.0000, 0.0000, 0.0000], [0.3751, 0.8747, 0.3751], [0.8747, 0.3751, 0.3751], [0.3751, 0.3751, 0.8747], [0.3751, 0.3751, 0.3751], [0.7500, 0.7500, 0.7500]]
}

=====

Record 11
{
  "formula": "Ac3BeBi",
  "functional": "PBE",
  "state": "optimized geometry",
  "cell": [[-2.1973, 3.2137, -4.1813], [0.7518, -4.2926, -3.6943], [-5.2198, -1.9711, 1.2281]],
  "species": ["Be", "Ac", "Ac", "Ac", "Bi"],
  "fractional_positions": [[0.0000, 0.0000, 0.0000], [0.0000, 0.5000, 0.0000], [0.0000, 0.0000, 0.5000], [0.5000, 0.0000, 0.0000], [0.5000, 0.5000, 0.5000]]
}

=====

Record 12
{
  "formula": "Be2SiPb",
  "functional": "PBE",
  "state": "optimized geometry",
  "cell": [[-2.4985, 0.0201, 2.6708], [0.4396, -2.1350, 2.9367], [2.4819, 3.9012, 4.1950]],
  "species": ["Pb", "Be", "Be", "Si"],
  "fractional_positions": [[0.4274, 0.4274, 0.5544], [0.0369, 0.0369, 0.9306], [0.7042, 0.7042, 0.9283], [0.3315, 0.3315, 0.0866]]
}

=====

Record 13
{
  "formula": "BaEu2Sn",
  "functional": "PBE",
  "state": "optimized geometry",
  "cell": [[5.2637, 0.0000, 0.0000], [0.0000, 5.2648, 0.0000], [0.0000, 0.0000, 5.2648]],
  "species": ["Eu", "Eu", "Ba", "Sn"],
  "fractional_positions": [[0.0000, 0.0000, 0.5000], [0.0000, 0.5000, 0.0000], [0.5000, 0.5000, 0.5000], [0.5000, 0.0000, 0.0000]]
}

=====

Record 14
{
  "formula": "TlTcCl2",
  "functional": "PBE",
  "state": "optimized geometry",
  "cell": [[-3.5166, -2.0323, 3.0997], [1.6125, -4.6796, -1.2675], [3.3201, 3.4310, 1.8196]],
  "species": ["Tl", "Tc", "Cl", "Cl"],
  "fractional_positions": [[0.7500, 0.2500, 0.5000], [0.2500, 0.7500, 0.5000], [0.0000, 0.0000, 0.0000], [0.5000, 0.5000, 0.0000]]
}

=====

Record 15
{
  "formula": "Cr2FeIr2",
  "functional": "PBE",
  "state": "optimized geometry",
  "cell": [[7.1114, 0.0000, 0.0000], [0.0000, 7.1114, 0.0000], [0.0000, 0.0000, 2.6870]],
  "species": ["Cr", "Cr", "Cr", "Cr", "Ir", "Ir", "Ir", "Ir", "Fe", "Fe"],
  "fractional_positions": [[0.1673, 0.6673, 0.5000], [0.6673, 0.8327, 0.5000], [0.8327, 0.3327, 0.5000], [0.3327, 0.1673, 0.5000], [0.3683, 0.8683, 0.0000], [0.8683, 0.6317, 0.0000], [0.6317, 0.1317, 0.0000], [0.1317, 0.3683, 0.0000], [0.0000, 0.0000, 0.0000], [0.5000, 0.5000, 0.0000]]
}

=====

Record 16
{
  "formula": "LiPuHg4",
  "functional": "PBE",
  "state": "optimized geometry",
  "cell": [[-0.7842, -1.2345, -2.7621], [2.6392, -4.1329, 1.0980], [-7.2793, -3.6876, 3.6169]],
  "species": ["Li", "Pu", "Hg", "Hg", "Hg", "Hg"],
  "fractional_positions": [[0.5000, 0.5000, 0.5000], [0.5000, 0.0000, 0.0000], [0.0056, 0.0000, 0.6583], [0.0044, 0.5000, 0.8255], [0.9944, 0.0000, 0.3417], [0.9956, 0.5000, 0.1745]]
}

=====

Record 17
{
  "formula": "SmThRh",
  "functional": "PBE",
  "state": "optimized geometry",
  "cell": [[6.0670, 0.0000, 0.0000], [0.0000, 6.7996, -2.0501], [0.0000, 1.5891, 7.8547]],
  "species": ["Sm", "Sm", "Sm", "Sm", "Th", "Th", "Th", "Th", "Rh", "Rh", "Rh", "Rh"],
  "fractional_positions": [[0.3675, 0.1777, 0.8806], [0.6325, 0.8223, 0.1194], [0.8675, 0.3223, 0.6194], [0.1325, 0.6777, 0.3806], [0.8633, 0.3003, 0.1249], [0.6367, 0.8003, 0.6249], [0.1367, 0.6997, 0.8751], [0.3633, 0.1997, 0.3751], [0.3709, 0.4681, 0.6527], [0.6291, 0.5319, 0.3473], [0.1291, 0.9681, 0.1527], [0.8709, 0.0319, 0.8473]]
}

=====

Record 18
{
  "formula": "Ba2Na5Sn4",
  "functional": "PBE",
  "state": "optimized geometry",
  "cell": [[-1.4525, 2.9685, -5.9600], [-3.9800, -4.9942, -5.4137], [-9.0801, 1.2260, -1.0727]],
  "species": ["Ba", "Ba", "Na", "Na", "Na", "Na", "Na", "Sn", "Sn", "Sn", "Sn"],
  "fractional_positions": [[0.2405, 0.8865, 0.6326], [0.7595, 0.1135, 0.3674], [0.1358, 0.3277, 0.9123], [0.8642, 0.6723, 0.0877], [0.0000, 0.5000, 0.5000], [0.6242, 0.3277, 0.9123], [0.3758, 0.6723, 0.0877], [0.4247, 0.9581, 0.1925], [0.5753, 0.0419, 0.8075], [0.7801, 0.6928, 0.7470], [0.2199, 0.3072, 0.2530]]
}

=====

Record 19
{
  "formula": "SrScCr4",
  "functional": "PBE",
  "state": "optimized geometry",
  "cell": [[1.3420, -0.3233, 5.0017], [1.4526, 4.2627, 2.5770], [-3.0939, 2.0050, 3.6510]],
  "species": ["Sr", "Sc", "Cr", "Cr", "Cr", "Cr"],
  "fractional_positions": [[0.0000, 0.0000, 0.0000], [0.7500, 0.7500, 0.7500], [0.8762, 0.3746, 0.3746], [0.3746, 0.3746, 0.8762], [0.3746, 0.8762, 0.3746], [0.3746, 0.3746, 0.3746]]
}

=====

Record 20
{
  "formula": "Tm2P3Ir5",
  "functional": "PBE",
  "state": "optimized geometry",
  "cell": [[-2.7458, 2.0325, -2.0340], [-1.3966, -5.4018, -3.5125], [-7.1360, -4.2103, 9.3122]],
  "species": ["Tm", "Tm", "Tm", "Tm", "P", "P", "P", "P", "P", "P", "Ir", "Ir", "Ir", "Ir", "Ir", "Ir", "Ir", "Ir", "Ir", "Ir"],
  "fractional_positions": [[0.4744, 0.7865, 0.9488], [0.1761, 0.7596, 0.3522], [0.8239, 0.2596, 0.6478], [0.5256, 0.2865, 0.0512], [0.7870, 0.6843, 0.5741], [0.6101, 0.5575, 0.2203], [0.0396, 0.9841, 0.0792], [0.2130, 0.1843, 0.4259], [0.9604, 0.4841, 0.9208], [0.3899, 0.0575, 0.7797], [0.4102, 0.4096, 0.8205], [0.2631, 0.4981, 0.5262], [0.7369, 0.9981, 0.4738], [0.1151, 0.2005, 0.2303], [0.3130, 0.8721, 0.6261], [0.9424, 0.1126, 0.8847], [0.6870, 0.3721, 0.3739], [0.8848, 0.7005, 0.7697], [0.0576, 0.6126, 0.1153], [0.5898, 0.9096, 0.1795]]
}

=====

Summary of M_tot in Bohr magnetons per cell
0.0, 4.2, 1.1, 0.0, 0.0, 0.0, 0.0, 4.4, 1.0, 0.0, 0.0, 0.0, 14.8, 4.0, 0.0, 5.9, 0.0, 0.0, 0.0, 0.0
(order as listed above)
Summary of E in eV/atom
-7.046, -6.752, -3.755, -7.030, -3.027, -6.394, -3.224, -9.106, -4.769, -8.775, -4.038, -3.890, -6.978, -3.795, -8.864, -3.098, -6.958, -2.655, -7.047, -7.732
(order as listed above)